[1]
{"formula": "Dy2AlRh3", "functional": "PBE-GGA", "state": "optimized geometry", "cell": [[2.820, 1.628, 3.921], [-2.820, 1.628, 3.921], [0.000, -3.257, 3.921]], "species": ["Dy", "Dy", "Al", "Rh", "Rh", "Rh"], "fractional_positions": [[0.131, 0.131, 0.131], [0.869, 0.869, 0.869], [0.500, 0.500, 0.500], [0.000, 0.500, 0.500], [0.500, 0.000, 0.500], [0.500, 0.500, 0.000]], "volume_a3_per_cell": 108, "ef_ev_per_atom": -0.931}

***

[2]
{"formula": "NaHgRhF6", "functional": "PBE-GGA", "state": "optimized geometry", "cell": [[5.647, 0.000, 0.000], [-2.824, 4.891, 0.000], [0.000, 0.000, 9.537]], "species": ["Na", "Na", "Hg", "Hg", "Rh", "Rh", "F", "F", "F", "F", "F", "F", "F", "F", "F", "F", "F", "F"], "fractional_positions": [[0.333, 0.667, 0.250], [0.667, 0.333, 0.750], [0.000, 0.000, 0.000], [0.000, 0.000, 0.500], [0.333, 0.667, 0.750], [0.667, 0.333, 0.250], [0.036, 0.373, 0.632], [0.036, 0.663, 0.868], [0.337, 0.373, 0.868], [0.337, 0.964, 0.632], [0.373, 0.036, 0.132], [0.373, 0.337, 0.368], [0.627, 0.663, 0.632], [0.627, 0.964, 0.868], [0.663, 0.036, 0.368], [0.663, 0.627, 0.132], [0.964, 0.337, 0.132], [0.964, 0.627, 0.368]], "raw_formation_energy_mev_per_atom": -1797, "volume_a3_per_cell": 263}